Compound: AlCoS2N
Source: the Alexandria database
Functional: SCAN
Structure: PBEsol geometry

## Properties
Symmetry ... No. 123
DOS at the Fermi energy ... 0.93 states/eV/f.u.
Formation energy (no corrections) ... 0.333 eV/atom

abc: 3.567 4.657 4.657
angles: 90.00 90.00 90.00
Site moments in Bohr magnetons follow the coordinates.
Fractional positions:
S 0.000 0.000 0.500  0.26
N 0.500 0.000 0.000  1.06
S 0.000 0.500 0.000  0.26
Co 0.500 0.500 0.500  2.56
Al 0.000 0.000 0.000  -0.03

Compound: Na2Al2Co
Source: the Alexandria database
Functional: SCAN
Structure: PBEsol geometry

## Properties
Symmetry ... No. 139
ΔE_f ... 526 meV/atom
DOS at the Fermi energy ... 2.00 states/eV/f.u.

abc: 3.386 3.386 8.078
angles: 102.10 102.10 90.00
Site moments in Bohr magnetons follow the coordinates.
Fractional positions:
Al 0.418 0.418 0.836  -0.01
Na 0.250 0.750 0.500  0.00
Na 0.750 0.250 0.500  0.00
Co 0.000 0.000 0.000  1.64
Al 0.582 0.582 0.164  -0.01

Compound: Na2AlCoPb
Source: the Alexandria database
Functional: SCAN
Structure: PBEsol geometry

## Properties
Symmetry ... No. 123
ΔE_f ... 919 meV/atom
DOS at the Fermi energy ... 4.52 states/eV/f.u.

abc: 5.219 5.745 5.745
angles: 90.00 90.00 90.00
Site moments in Bohr magnetons follow the coordinates.
Fractional positions:
Pb 0.000 0.000 0.000  0.04
Co 0.500 0.500 0.500  2.58
Na 0.000 0.000 0.500  0.00
Al 0.500 0.000 0.000  -0.01
Na 0.000 0.500 0.000  0.00

Compound: NbAl2Co2
Source: the Alexandria database
Functional: SCAN
Structure: PBEsol geometry

## Properties
Symmetry ... No. 127
ΔE_f ... -288 meV/atom
DOS at the Fermi energy ... 5.54 states/eV/f.u.

abc: 2.714 6.929 6.929
angles: 90.00 90.00 90.00
Fractional positions:
Al 0.500 0.846 0.346
Co 0.000 0.861 0.639
Co 0.000 0.361 0.861
Co 0.000 0.639 0.139
Nb 0.000 0.000 0.000
Al 0.500 0.154 0.654
Co 0.000 0.139 0.361
Al 0.500 0.346 0.154
Nb 0.000 0.500 0.500
Al 0.500 0.654 0.846

Compound: NbAlCo2
Source: the Alexandria database
Functional: SCAN
Structure: PBEsol geometry

## Properties
Symmetry ... No. 225
ΔE_f ... -510 meV/atom
DOS at the Fermi energy ... 0.93 states/eV/f.u.

abc: 4.173 4.173 4.173
angles: 60.00 60.00 60.00
Site moments in Bohr magnetons follow the coordinates.
Fractional positions:
Nb 0.500 0.500 0.500  -0.21
Co 0.250 0.250 0.250  1.17
Al 0.000 0.000 0.000  -0.01
Co 0.750 0.750 0.750  1.17

Compound: AlCo2Ni
Source: the Alexandria database
Functional: SCAN
Structure: PBEsol geometry

## Properties
Symmetry ... No. 8
ΔE_f ... -209 meV/atom
DOS at the Fermi energy ... 3.49 states/eV/f.u.

abc: 2.585 4.217 4.302
angles: 101.80 107.48 90.00
Site moments in Bohr magnetons follow the coordinates.
Fractional positions:
Co 0.997 0.980 0.993  1.71
Al 0.750 0.260 0.500  -0.02
Co 0.252 0.764 0.505  1.39
Ni 0.501 0.497 0.002  0.45

Compound: AlCo2Ni
Source: the Alexandria database
Functional: SCAN
Structure: PBEsol geometry

## Properties
Symmetry ... No. 166
ΔE_f ... 1 meV/atom
DOS at the Fermi energy ... 3.73 states/eV/f.u.

abc: 2.553 2.553 7.992
angles: 80.81 80.81 60.00
Site moments in Bohr magnetons follow the coordinates.
Fractional positions:
Co 0.249 0.249 0.252  1.59
Al 0.000 0.000 0.000  -0.03
Ni 0.500 0.500 0.500  0.84
Co 0.751 0.751 0.748  1.59

Compound: AlCoNi
Source: the Alexandria database
Functional: SCAN
Structure: PBEsol geometry

## Properties
Symmetry ... No. 216
ΔE_f ... 173 meV/atom
DOS at the Fermi energy ... 2.06 states/eV/f.u.

abc: 3.805 3.805 3.805
angles: 60.00 60.00 60.00
Site moments in Bohr magnetons follow the coordinates.
Fractional positions:
Co 0.000 0.000 0.000  0.97
Al 0.250 0.250 0.250  -0.03
Ni 0.500 0.500 0.500  0.07

Compound: AlCo2Ni
Source: the Alexandria database
Functional: SCAN
Structure: PBEsol geometry

## Properties
Symmetry ... No. 119
ΔE_f ... -291 meV/atom
DOS at the Fermi energy ... 2.68 states/eV/f.u.

abc: 3.626 3.626 4.196
angles: 115.60 115.60 90.00
Site moments in Bohr magnetons follow the coordinates.
Fractional positions:
Ni 0.500 0.500 0.000  0.24
Co 0.750 0.250 0.500  1.81
Al 0.250 0.750 0.500  -0.03
Co 0.000 0.000 0.000  1.27

Compound: AlCoNi
Source: the Alexandria database
Functional: SCAN
Structure: PBEsol geometry

## Properties
Symmetry ... No. 107
ΔE_f ... -344 meV/atom
DOS at the Fermi energy ... 2.17 states/eV/f.u.

abc: 2.763 2.763 4.790
angles: 106.76 106.76 90.00
Site moments in Bohr magnetons follow the coordinates.
Fractional positions:
Co 0.334 0.334 0.669  1.31
Ni 0.666 0.666 0.332  0.52
Al 0.999 0.999 0.999  -0.02

Compound: Al2CoNi
Source: the Alexandria database
Functional: SCAN
Structure: PBEsol geometry

## Properties
Symmetry ... No. 123
ΔE_f ... -715 meV/atom
DOS at the Fermi energy ... 1.10 states/eV/f.u.

abc: 2.795 4.056 4.056
angles: 90.00 90.00 90.00
Site moments in Bohr magnetons follow the coordinates.
Fractional positions:
Ni 0.500 0.500 0.500  0.23
Al 0.000 0.500 0.000  -0.01
Co 0.500 0.000 0.000  0.95
Al 0.000 0.000 0.500  -0.01

Compound: AlCo6Ni
Source: the Alexandria database
Functional: SCAN
Structure: PBEsol geometry

## Properties
Symmetry ... No. 65
ΔE_f ... -110 meV/atom
DOS at the Fermi energy ... 4.50 states/eV/f.u.

abc: 6.048 6.048 9.892
angles: 90.00 90.00 109.51
Site moments in Bohr magnetons follow the coordinates.
Fractional positions:
Co 0.368 0.120 0.128  1.59
Co 0.500 0.500 0.000  1.50
Al 0.747 0.253 0.000  -0.04
Ni 0.000 0.000 0.750  0.96
Co 0.880 0.627 0.623  1.76
Co 0.373 0.120 0.377  1.76
Co 0.368 0.120 0.872  1.59
Co 0.880 0.632 0.872  1.59
Co 0.373 0.120 0.623  1.76
Al 0.500 0.500 0.249  -0.04
Co 0.120 0.368 0.128  1.59
Co 0.120 0.373 0.377  1.76
Co 0.627 0.880 0.623  1.76
Co 0.627 0.880 0.377  1.76
Co 0.752 0.248 0.745  1.68
Co 0.632 0.880 0.128  1.59
Al 0.500 0.500 0.751  -0.04
Co 0.632 0.880 0.872  1.59
Co 0.000 0.000 0.500  1.83
Co 0.880 0.627 0.377  1.76
Ni 0.251 0.749 0.500  0.88
Co 0.248 0.752 0.745  1.68
Co 0.248 0.752 0.255  1.68
Al 0.253 0.747 0.000  -0.04
Co 0.120 0.368 0.872  1.59
Ni 0.000 0.000 0.250  0.96
Ni 0.749 0.251 0.500  0.88
Co 0.000 0.000 0.000  1.63
Co 0.880 0.632 0.128  1.59
Co 0.120 0.373 0.623  1.76
Co 0.752 0.248 0.255  1.68
Co 0.500 0.500 0.500  1.66